The following is a DFT calculation (PBE-GGA) of a relaxed HoNpF6 crystal.

Calculated values
The formation energy (no corrections) comes out at -3.76 eV/atom. For the density of states at the Fermi level, the calculation gives 8.0 states/eV per cell. The calculation puts the calculated total energy at -176.4 eV for the cell shown.

Lattice parameters (Å, degrees): 5.8989 5.8989 16.1168 90.00 90.00 120.00
With the nearest neighbours (Å) after each atom.
Space group R-3 (No. 148, hexagonal axes)
Unique sites:
Ho 0.0000 0.0000 0.0000 [3 per cell]  6 F 2.18
Np 0.0000 0.0000 0.5000 [3 per cell]  6 F 2.30
F 0.0095 0.4100 0.7473 [18 per cell]  1 Ho 2.18, 1 Np 2.30


The following is a DFT calculation (PBE-GGA) of a relaxed HoNp2F8 crystal.

Calculated values
The formation energy (no corrections) comes out at -3.37 eV/atom. For the density of states at the Fermi level, the calculation gives 17.0 states/eV per cell. The calculation puts the calculated total energy at -165.1 eV for the cell shown.

Lattice parameters (Å, degrees): 3.8129 6.8107 11.1013 90.00 90.00 90.00
With the nearest neighbours (Å) after each atom.
Space group Immm (No. 71)
Unique sites:
Ho 0.0000 0.0000 0.0000 [2 per cell]  8 F 2.37-2.48
Np 0.0000 0.0000 0.3213 [4 per cell]  8 F 2.37-2.54
F 0.0000 0.1894 0.5000 [4 per cell]  2 Np 2.37, 7 F 2.54-2.60
F 0.0000 0.2590 0.1567 [8 per cell]  1 Ho 2.48, 3 Np 2.53-2.54, 4 F 2.60-2.62
F 0.0000 0.5000 0.3726 [4 per cell]  2 Ho 2.37, 6 F 2.54-2.62


The following is a DFT calculation (PBE-GGA) of a relaxed Ho3NpO6F2 crystal.

Calculated values
The formation energy (no corrections) comes out at -3.38 eV/atom. For the density of states at the Fermi level, the calculation gives 15.1 states/eV per cell. The calculation puts the calculated total energy at -201.4 eV for the cell shown.

Lattice parameters (Å, degrees): 11.7803 6.6917 4.6977 90.00 92.98 90.00
With the nearest neighbours (Å) after each atom.
Space group C2/m (No. 12)
Unique sites:
Ho 0.0000 0.0000 0.0000 [2 per cell]  4 O 2.28, 2 F 2.35
Ho 0.2500 0.2500 0.5000 [4 per cell]  4 O 2.19-2.24, 2 F 2.30
Np 0.0000 0.5000 0.5000 [2 per cell]  6 O 2.13-2.20
O 0.0780 0.2523 0.2724 [8 per cell]  1 Np 2.20, 2 Ho 2.24-2.28
O 0.1657 0.5000 0.7043 [4 per cell]  1 Np 2.13, 2 Ho 2.19
F 0.1698 0.0000 0.7593 [4 per cell]  3 Ho 2.30-2.35


The following is a DFT calculation (PBE-GGA) of a relaxed Ho2O2F crystal.

Calculated values
The formation energy (no corrections) comes out at -3.32 eV/atom. For the density of states at the Fermi level, the calculation gives 4.9 states/eV per cell. The calculation puts the calculated total energy at -150.1 eV for the cell shown.

Lattice parameters (Å, degrees): 11.4397 4.4476 7.2819 90.00 118.07 90.00
With the nearest neighbours (Å) after each atom.
Space group C2/m (No. 12)
Unique sites:
Ho 0.0486 0.0000 0.2814 [4 per cell]  2 F 2.27-2.29, 4 O 2.28-2.45
Ho 0.1756 0.5000 0.0907 [4 per cell]  4 O 2.25-2.30, 1 F 2.27
O 0.0197 0.5000 0.2068 [4 per cell]  4 Ho 2.26-2.30
O 0.1474 0.0000 0.0471 [4 per cell]  4 Ho 2.25-2.45
F 0.1181 0.0000 0.6317 [4 per cell]  3 Ho 2.27-2.29, 1 F 2.47


The following is a DFT calculation (PBE-GGA) of a relaxed HoOF3 crystal.

Calculated values
The formation energy (no corrections) comes out at -2.71 eV/atom. The calculation puts the calculated total energy at -57.4 eV for the cell shown.

Lattice parameters (Å, degrees): 4.2648 7.1496 4.9195 90.00 101.38 90.00
With the nearest neighbours (Å) after each atom.
Space group P2_1/m (No. 11)
Unique sites:
Ho 0.0710 0.2500 0.1013 [2 per cell]  6 F 2.17-2.26
O 0.2056 0.2500 0.6266 [2 per cell]  2 F 2.25, 1 Ho 2.51
F 0.1412 0.5495 0.2415 [4 per cell]  1 O 2.25, 2 Ho 2.25-2.26
F 0.4078 0.7500 0.8107 [2 per cell]  2 Ho 2.17-2.18


The following is a DFT calculation (PBE-GGA) of a relaxed HoPuO4F crystal.

Calculated values
The formation energy (no corrections) comes out at -2.90 eV/atom. For the density of states at the Fermi level, the calculation gives 22.9 states/eV per cell. The calculation puts the calculated total energy at -243.8 eV for the cell shown.

Lattice parameters (Å, degrees): 10.9895 6.0045 7.3303 90.00 93.82 90.00
With the nearest neighbours (Å) after each atom.
Space group C2/m (No. 12)
Unique sites:
Ho 0.1631 0.0000 0.4869 [4 per cell]  2 F 2.19-2.22, 4 O 2.20-2.29
Pu 0.1539 0.5000 0.1096 [4 per cell]  2 O 1.82-1.84
O 0.0039 0.5000 0.8187 [4 per cell]  1 Pu 1.84
O 0.1966 0.0000 0.9831 [4 per cell]  1 Pu 1.82
O 0.2180 0.2807 0.3176 [8 per cell]  1 Pu 2.10, 2 Ho 2.20-2.29
F 0.0155 0.0000 0.6730 [4 per cell]  2 Ho 2.19-2.22